(1)
The following is a PBE-GGA calculation of a relaxed structure of MgBeSiPt, from OQMD via LeMat-Bulk.

Properties
E above lowest polymorph   0.088 eV/atom
E_tot   -4.3469 eV per atom

Unit cell a=4.269 b=4.269 c=4.269 alpha=60.00 beta=60.00 gamma=60.00
Fractional coordinates of all 4 atoms:
Mg: 0.000 0.000 0.000
Be: 0.750 0.750 0.750
Si: 0.500 0.500 0.500
Pt: 0.250 0.250 0.250

***

(2)
The following is a PBE-GGA calculation of a relaxed structure of Y4CuSbN2, from OQMD via LeMat-Bulk.

Properties
E_tot   -7.2982 eV per atom

Unit cell a=3.552 b=3.552 c=14.415 alpha=90.00 beta=90.00 gamma=120.00
Fractional coordinates of all 8 atoms:
Y: 0.000 0.000 0.142
Y: 0.000 0.000 0.858
Y: 0.333 0.667 0.330
Y: 0.333 0.667 0.670
Cu: 0.333 0.667 0.000
Sb: 0.000 0.000 0.500
N: 0.667 0.333 0.245
N: 0.667 0.333 0.755

***

(3)
The following is a PBE-GGA calculation of a relaxed structure of Li2Sc2NiSn2Pd, from OQMD via LeMat-Bulk.

Properties
E_tot   -5.1053 eV per atom

Unit cell a=4.543 b=4.543 c=6.435 alpha=90.00 beta=90.00 gamma=90.00
Fractional coordinates of all 8 atoms:
Li: 0.000 0.000 0.000
Li: 0.500 0.500 0.500
Sc: 0.000 0.500 0.743
Sc: 0.500 0.000 0.257
Ni: 0.000 0.000 0.500
Sn: 0.000 0.500 0.258
Sn: 0.500 0.000 0.742
Pd: 0.500 0.500 0.000

***

(4)
The following is a PBE-GGA calculation of a relaxed structure of HfCu2TeSeS, from OQMD via LeMat-Bulk.

Properties
E above lowest polymorph   0.000 eV/atom
E_tot   -5.4026 eV per atom

Unit cell a=9.830 b=9.830 c=7.166 alpha=97.56 beta=97.56 gamma=23.12
Fractional coordinates of all 12 atoms:
Hf: 0.138 0.138 0.051
Hf: 0.862 0.862 0.949
Cu: 0.208 0.208 0.428
Cu: 0.459 0.459 0.834
Cu: 0.541 0.541 0.166
Cu: 0.792 0.792 0.572
Te: 0.250 0.250 0.786
Te: 0.750 0.750 0.214
Se: 0.080 0.080 0.353
Se: 0.920 0.920 0.647
S: 0.417 0.417 0.131
S: 0.583 0.583 0.869

***

(5)
The following is a PBE-GGA calculation of a relaxed structure of DyReAsO, from OQMD via LeMat-Bulk.

Properties
E above lowest polymorph   0.583 eV/atom
E_tot   -7.6926 eV per atom

Unit cell a=4.104 b=6.199 c=5.611 alpha=90.00 beta=90.00 gamma=90.00
Fractional coordinates of all 8 atoms:
Dy: 0.000 0.176 0.000
Dy: 0.000 0.824 0.500
Re: 0.500 0.463 0.770
Re: 0.500 0.537 0.270
As: 0.000 0.316 0.513
As: 0.000 0.684 0.013
O: 0.500 0.253 0.069
O: 0.500 0.747 0.569

***

(6)
The following is a PBE-GGA calculation of a relaxed structure of CdFePd, from OQMD via LeMat-Bulk.

Properties
Formation energy   0.309 eV per atom
E above lowest polymorph   0.000 eV/atom
E_tot   -4.4839 eV per atom

Unit cell a=4.319 b=4.319 c=4.319 alpha=60.00 beta=60.00 gamma=60.00
Fractional coordinates of all 3 atoms:
Cd: 0.000 0.000 0.000
Fe: 0.500 0.500 0.500
Pd: 0.250 0.250 0.250

***

(7)
The following is a PBE-GGA calculation of a relaxed structure of BiMoOs2, from OQMD via LeMat-Bulk.

Properties
E_tot   -8.4515 eV per atom

Unit cell a=4.586 b=4.586 c=4.586 alpha=60.00 beta=60.00 gamma=60.00
Fractional coordinates of all 4 atoms:
Bi: 0.000 0.000 0.000
Mo: 0.250 0.250 0.250
Os: 0.500 0.500 0.500
Os: 0.750 0.750 0.750

***

(8)
The following is a PBE-GGA calculation of a relaxed structure of LuGaCuW, from OQMD via LeMat-Bulk.

Properties
E above lowest polymorph   0.192 eV/atom
E_tot   -5.4510 eV per atom

Unit cell a=4.648 b=4.648 c=4.648 alpha=60.00 beta=60.00 gamma=60.00
Fractional coordinates of all 4 atoms:
Lu: 0.000 0.000 0.000
Ga: 0.250 0.250 0.250
Cu: 0.500 0.500 0.500
W: 0.750 0.750 0.750

***

(9)
The following is a PBE-GGA calculation of a relaxed structure of CuRe2B, from OQMD via LeMat-Bulk.

Properties
E_tot   -8.0931 eV per atom

Unit cell a=4.138 b=4.138 c=4.138 alpha=60.00 beta=60.00 gamma=60.00
Fractional coordinates of all 4 atoms:
Cu: 0.000 0.000 0.000
Re: 0.250 0.250 0.250
Re: 0.500 0.500 0.500
B: 0.750 0.750 0.750

***

(10)
The following is a PBE-GGA calculation of a relaxed structure of PrGaPO, from OQMD via LeMat-Bulk.

Properties
E above lowest polymorph   0.154 eV/atom
E_tot   -5.9894 eV per atom

Unit cell a=4.671 b=6.045 c=5.856 alpha=90.00 beta=90.00 gamma=90.00
Fractional coordinates of all 8 atoms:
Pr: 0.000 0.247 0.000
Pr: 0.000 0.753 0.500
Ga: 0.500 0.336 0.576
Ga: 0.500 0.664 0.076
P: 0.000 0.242 0.502
P: 0.000 0.758 0.002
O: 0.500 0.350 0.946
O: 0.500 0.650 0.446

***

(11)
The following is a PBE-GGA calculation of a relaxed structure of Dy5Se6, from OQMD via LeMat-Bulk.

Properties
E_tot   -5.8552 eV per atom

Unit cell a=7.004 b=7.004 c=6.998 alpha=99.63 beta=99.63 gamma=119.82
Fractional coordinates of all 11 atoms:
Dy: 0.000 0.000 0.000
Dy: 0.165 0.835 0.500
Dy: 0.335 0.665 0.000
Dy: 0.665 0.335 0.000
Dy: 0.835 0.165 0.500
Se: 0.089 0.418 0.253
Se: 0.254 0.254 0.744
Se: 0.418 0.089 0.253
Se: 0.582 0.911 0.747
Se: 0.746 0.746 0.256
Se: 0.911 0.582 0.747

***

(12)
The following is a PBE-GGA calculation of a relaxed structure of PaNbZn, from OQMD via LeMat-Bulk.

Properties
Formation energy   0.562 eV per atom
E above lowest polymorph   0.000 eV/atom
E_tot   -6.3899 eV per atom

Unit cell a=4.556 b=4.556 c=4.556 alpha=60.00 beta=60.00 gamma=60.00
Fractional coordinates of all 3 atoms:
Pa: 0.000 0.000 0.000
Nb: 0.500 0.500 0.500
Zn: 0.750 0.750 0.750

***

Question: Look up the E_tot of the eighth one.
Answer: -5.4510 eV per atom

***

Question: Which of these has the highest E_tot?
Answer: MgBeSiPt

***

Question: Among the records above, which one has the highest E_tot?
Answer: MgBeSiPt